Compound: ScHg2Cl
Source: the Alexandria database
Functional: PBE
Structure: optimized geometry

formation energy from raw total energies: -0.37 eV per atom

a b c (Å): 5.5736 5.5736 5.5736
angles (deg): 132.86 132.86 68.88
Closest atoms and distances in Å follow each position.
Fractional positions:
Sc (0.0000, 0.0000, 0.0000)  8 Hg 3.15-3.20, 4 Cl 3.20
Hg (0.5000, 0.5000, 0.0000)  4 Sc 3.15, 4 Hg 3.20, 4 Cl 3.20
Hg (0.7500, 0.2500, 0.5000)  4 Cl 3.15, 4 Hg 3.20, 4 Sc 3.20
Cl (0.2500, 0.7500, 0.5000)  8 Hg 3.15-3.20, 4 Sc 3.20

***

Compound: CrPIrS2
Source: the Alexandria database
Functional: PBE
Structure: optimized geometry

formation energy from raw total energies: 1.15 eV per atom

a b c (Å): 4.8197 4.8197 4.3472
angles (deg): 90.00 90.00 90.00
Closest atoms and distances in Å follow each position.
Fractional positions:
Cr (0.0000, 0.0000, 0.0000)  8 S 3.25, 4 P 3.41
P (0.5000, 0.5000, 0.0000)  2 Ir 2.17
Ir (0.5000, 0.5000, 0.5000)  2 P 2.17, 4 S 2.41
S (0.0000, 0.5000, 0.5000)  2 Ir 2.41
S (0.5000, 0.0000, 0.5000)  2 Ir 2.41

***

Compound: Sc3Cd2
Source: the Alexandria database
Functional: PBE
Structure: optimized geometry

energy relative to the elements: -154 meV per atom

a b c (Å): 8.0643 8.0643 7.1752
angles (deg): 90.00 90.00 90.00
Closest atoms and distances in Å follow each position.
Fractional positions:
Sc (0.0000, 0.5000, 0.2500)  4 Cd 3.18, 8 Sc 3.44-3.54
Sc (0.0000, 0.5000, 0.7500)  4 Cd 3.18, 8 Sc 3.44-3.54
Sc (0.1553, 0.1553, 0.0000)  6 Cd 2.91-3.07
Sc (0.1886, 0.1886, 0.5000)  6 Cd 2.90-3.04
Sc (0.3114, 0.6886, 0.0000)  6 Cd 2.90-3.04
Sc (0.3447, 0.6553, 0.5000)  6 Cd 2.91-3.07
Sc (0.5000, 0.0000, 0.2500)  4 Cd 3.18, 8 Sc 3.44-3.54
Sc (0.5000, 0.0000, 0.7500)  4 Cd 3.18, 8 Sc 3.44-3.54
Sc (0.6553, 0.3447, 0.5000)  6 Cd 2.91-3.07
Sc (0.6886, 0.3114, 0.0000)  6 Cd 2.90-3.04
Sc (0.8114, 0.8114, 0.5000)  6 Cd 2.90-3.04
Sc (0.8447, 0.8447, 0.0000)  6 Cd 2.91-3.07
Cd (0.1291, 0.8709, 0.2825)  8 Sc 2.90-3.18, 2 Cd 2.94-3.12
Cd (0.1291, 0.8709, 0.7175)  8 Sc 2.90-3.18, 2 Cd 2.94-3.12
Cd (0.3709, 0.3709, 0.2175)  8 Sc 2.90-3.18, 2 Cd 2.94-3.12
Cd (0.3709, 0.3709, 0.7825)  8 Sc 2.90-3.18, 2 Cd 2.94-3.12
Cd (0.6291, 0.6291, 0.2175)  8 Sc 2.90-3.18, 2 Cd 2.94-3.12
Cd (0.6291, 0.6291, 0.7825)  8 Sc 2.90-3.18, 2 Cd 2.94-3.12
Cd (0.8709, 0.1291, 0.2825)  8 Sc 2.90-3.18, 2 Cd 2.94-3.12
Cd (0.8709, 0.1291, 0.7175)  8 Sc 2.90-3.18, 2 Cd 2.94-3.12